No. 1
Here is a geometry-optimized ZnCd3As structure from Alexandria. Energies are from PBE-GGA.

a = 5.042 Å, b = 5.042 Å, c = 5.042 Å
α = 90.00°, β = 90.00°, γ = 90.00°
Space group Pm-3m (No. 221)
Symmetry-distinct sites (fractional):
Zn 0.000 0.000 0.000 (multiplicity 1)
Cd 0.000 0.000 0.500 (multiplicity 3)
As 0.500 0.500 0.500 (multiplicity 1)

Summary:
excess energy over the best structure of this formula in the dataset = 0.107 eV/atom
formation enthalpy at 0 K = 478 meV/atom
calculated volume = 25.6 Å³ per atom

***

No. 2
Here is a geometry-optimized Al3CS structure from Alexandria. Energies are from PBE-GGA.

a = 4.196 Å, b = 4.196 Å, c = 4.196 Å
α = 90.00°, β = 90.00°, γ = 90.00°
Space group Pm-3m (No. 221)
Symmetry-distinct sites (fractional):
Al 0.000 0.000 0.500 (multiplicity 3)
C 0.000 0.000 0.000 (multiplicity 1)
S 0.500 0.500 0.500 (multiplicity 1)

Summary:
formation energy from raw total energies = 0.378 eV/atom
excess energy over the best structure of this formula in the dataset = 0.000 eV/atom
calculated volume = 14.8 Å³ per atom

***

No. 3
Here is a geometry-optimized Ga3Ni7Sb structure from Alexandria. Energies are from PBE-GGA.

a = 7.801 Å, b = 8.575 Å, c = 5.003 Å
α = 90.00°, β = 114.23°, γ = 90.00°
Space group C2/m (No. 12)
Symmetry-distinct sites (fractional):
Ga 0.000 0.000 0.000 (multiplicity 2)
Ga 0.000 0.220 0.500 (multiplicity 4)
Ni 0.000 0.500 0.500 (multiplicity 2)
Ni 0.176 0.238 0.197 (multiplicity 8)
Ni 0.193 0.000 0.525 (multiplicity 4)
Sb 0.000 0.500 0.000 (multiplicity 2)

Summary:
formation energy from raw total energies = -0.088 eV/atom
calculated volume = 13.9 Å³ per atom

***

Number 1: Fermi-level density of states 4.186 states/eV/f.u.. Number 2: Fermi-level density of states 2.906 states/eV/f.u.. Number 3: Fermi-level density of states 6.028 states/eV/f.u..